Entry 1:
Here is a geometry-optimized P2PdCl8 structure from Alexandria via LeMat-Bulk. Energies are from GGA-PBE.

Calculated values
- energy relative to the elements, uncorrected (eV per atom) = -0.426

abc: 13.218 9.008 6.775
angles: 90.00 93.39 90.00
Space group C2/m (No. 12)
Symmetry-distinct sites (fractional):
P1 0.224 0.000 0.271 [4 per cell]
Pd1 0.000 0.000 0.000 [2 per cell]
Cl1 0.077 0.185 0.197 [8 per cell]
Cl2 0.117 0.500 0.708 [4 per cell]
Cl3 0.203 0.000 0.567 [4 per cell]

---

Entry 2:
Here is a geometry-optimized HfHRh3 structure from Alexandria via LeMat-Bulk. Energies are from GGA-PBE.

Calculated values
- D(E_F) (states/eV/cell) = 6.306
- DFT total energy (eV/atom) = -7.692

abc: 5.686 3.912 5.720
angles: 90.00 90.00 90.00
Space group Pmma (No. 51)
Symmetry-distinct sites (fractional):
Hf1 0.250 0.000 0.223 [2 per cell]
H1 0.000 0.000 0.500 [2 per cell]
Rh1 0.000 0.500 0.000 [2 per cell]
Rh2 0.000 0.500 0.500 [2 per cell]
Rh3 0.250 0.000 0.746 [2 per cell]

---

Entry 3:
Here is a geometry-optimized Ho4PuRu5 structure from Alexandria via LeMat-Bulk. Energies are from GGA-PBE.

Calculated values
- D(E_F) (states/eV/cell) = 9.685
- ΔE_f (eV per atom) = -0.343

abc: 3.380 3.380 16.963
angles: 90.00 90.00 90.00
Space group P4/mmm (No. 123)
Symmetry-distinct sites (fractional):
Ho1 0.000 0.000 0.099 [2 per cell]
Ho2 0.000 0.000 0.297 [2 per cell]
Pu1 0.000 0.000 0.500 [1 per cell]
Ru1 0.500 0.500 0.000 [1 per cell]
Ru2 0.500 0.500 0.202 [2 per cell]
Ru3 0.500 0.500 0.409 [2 per cell]

---

Entry 4:
Here is a geometry-optimized LiTaOsN2 structure from Alexandria via LeMat-Bulk. Energies are from GGA-PBE.

Calculated values
- D(E_F) (states/eV/cell) = 4.436
- energy relative to the elements, uncorrected (eV per atom) = 1.083

abc: 4.058 4.058 5.231
angles: 90.00 90.00 90.00
Space group P4/mmm (No. 123)
Symmetry-distinct sites (fractional):
Li1 0.000 0.000 0.000 [1 per cell]
Ta1 0.500 0.500 0.500 [1 per cell]
Os1 0.500 0.500 0.000 [1 per cell]
N1 0.000 0.500 0.500 [2 per cell]

---

Entry 5:
Here is a geometry-optimized Tb6Tm5Th2 structure from Alexandria via LeMat-Bulk. Energies are from GGA-PBE.

Calculated values
- D(E_F) (states/eV/cell) = 34.204
- ΔE_f (eV per atom) = 0.113

abc: 11.571 20.172 3.566
angles: 90.00 90.00 90.00
Space group Pbam (No. 55)
Symmetry-distinct sites (fractional):
Tb1 0.067 0.072 0.000 [4 per cell]
Tb2 0.074 0.359 0.000 [4 per cell]
Tb3 0.179 0.626 0.500 [4 per cell]
Tm1 0.000 0.500 0.500 [2 per cell]
Tm2 0.088 0.216 0.500 [4 per cell]
Tm3 0.196 0.935 0.500 [4 per cell]
Th1 0.172 0.775 0.000 [4 per cell]

---

Entry 6:
Here is a geometry-optimized Dy4In structure from Alexandria via LeMat-Bulk. Energies are from GGA-PBE.

Calculated values
- D(E_F) (states/eV/cell) = 37.902
- ΔE_f (eV per atom) = 0.092

abc: 9.215 9.215 7.919
angles: 90.00 90.00 90.00
Space group I4_1/amd (No. 141, origin choice 2)
Symmetry-distinct sites (fractional):
Dy1 0.000 0.065 0.221 [16 per cell]
In1 0.000 0.250 0.875 [4 per cell]

---

Entry 7:
Here is a geometry-optimized MnTc2Os structure from Alexandria via LeMat-Bulk. Energies are from GGA-PBE.

Calculated values
- D(E_F) (states/eV/cell) = 8.110
- ΔE_f (eV per atom) = 0.089

abc: 8.981 2.711 4.639
angles: 90.00 99.78 90.00
Space group C2/m (No. 12)
Symmetry-distinct sites (fractional):
Mn1 0.000 0.000 0.000 [2 per cell]
Tc1 0.248 0.000 0.750 [4 per cell]
Os1 0.000 0.500 0.500 [2 per cell]

---

Entry 8:
Here is a geometry-optimized CsIn2TePt structure from Alexandria via LeMat-Bulk. Energies are from GGA-PBE.

Calculated values
- D(E_F) (states/eV/cell) = 3.401
- energy relative to the elements, uncorrected (eV per atom) = 0.179

abc: 6.348 6.348 5.054
angles: 90.00 90.00 90.00
Space group P4/mmm (No. 123)
Symmetry-distinct sites (fractional):
Cs1 0.000 0.000 0.000 [1 per cell]
In1 0.000 0.500 0.500 [2 per cell]
Te1 0.500 0.500 0.500 [1 per cell]
Pt1 0.500 0.500 0.000 [1 per cell]

---

Entry 9:
Here is a geometry-optimized GeSbSe2N structure from Alexandria via LeMat-Bulk. Energies are from GGA-PBE.

Calculated values
- D(E_F) (states/eV/cell) = 2.572
- energy relative to the elements, uncorrected (eV per atom) = 0.765

abc: 5.386 5.386 3.912
angles: 90.00 90.00 90.00
Space group P4/mmm (No. 123)
Symmetry-distinct sites (fractional):
Ge1 0.000 0.000 0.000 [1 per cell]
Sb1 0.500 0.500 0.500 [1 per cell]
Se1 0.000 0.500 0.500 [2 per cell]
N1 0.500 0.500 0.000 [1 per cell]

---

Entry 10:
Here is a geometry-optimized KErP4O12 structure from Alexandria via LeMat-Bulk. Energies are from GGA-PBE.

Calculated values
- D(E_F) (states/eV/cell) = 0.000
- energy relative to the elements, uncorrected (eV per atom) = -2.455

abc: 10.402 8.938 12.769
angles: 90.00 124.79 90.00
Space group P2_1/c (No. 14)
Symmetry-distinct sites (fractional):
K1 0.248 0.063 0.040 [4 per cell]
Er1 0.314 0.727 0.815 [4 per cell]
P1 0.023 0.025 0.274 [4 per cell]
P2 0.199 0.611 0.022 [4 per cell]
P3 0.324 0.170 0.364 [4 per cell]
P4 0.391 0.091 0.742 [4 per cell]
O1 0.038 0.548 0.897 [4 per cell]
O2 0.068 0.586 0.711 [4 per cell]
O3 0.137 0.593 0.307 [4 per cell]
O4 0.152 0.158 0.338 [4 per cell]
O5 0.165 0.712 0.097 [4 per cell]
O6 0.270 0.047 0.595 [4 per cell]
O7 0.281 0.210 0.753 [4 per cell]
O8 0.298 0.668 0.980 [4 per cell]
O9 0.366 0.026 0.330 [4 per cell]
O10 0.425 0.542 0.326 [4 per cell]
O11 0.429 0.240 0.493 [4 per cell]
O12 0.473 0.674 0.741 [4 per cell]

---

Entry 11:
Here is a geometry-optimized LiCuPd5 structure from Alexandria via LeMat-Bulk. Energies are from GGA-PBE.

Calculated values
- D(E_F) (states/eV/cell) = 12.913
- ΔE_f (eV per atom) = -0.057

abc: 5.445 7.603 5.383
angles: 90.00 90.00 90.00
Space group Cmmm (No. 65)
Symmetry-distinct sites (fractional):
Li1 0.000 0.000 0.000 [2 per cell]
Cu1 0.000 0.500 0.500 [2 per cell]
Pd1 0.000 0.500 0.000 [2 per cell]
Pd2 0.250 0.250 0.257 [8 per cell]

---

Entry 12:
Here is a geometry-optimized TlTeN2O structure from Alexandria via LeMat-Bulk. Energies are from GGA-PBE.

Calculated values
- D(E_F) (states/eV/cell) = 2.524
- energy relative to the elements, uncorrected (eV per atom) = 0.781

abc: 4.151 4.151 4.037
angles: 90.00 90.00 90.00
Space group P4/mmm (No. 123)
Symmetry-distinct sites (fractional):
Tl1 0.000 0.000 0.000 [1 per cell]
Te1 0.500 0.500 0.500 [1 per cell]
N1 0.000 0.500 0.500 [2 per cell]
O1 0.500 0.500 0.000 [1 per cell]

---

Entry 13:
Here is a geometry-optimized CsKTlCl3 structure from Alexandria via LeMat-Bulk. Energies are from GGA-PBE.

Calculated values
- D(E_F) (states/eV/cell) = 0.000
- energy relative to the elements, uncorrected (eV per atom) = -1.624

abc: 8.117 4.603 12.218
angles: 90.00 102.44 90.00
Space group P2_1/m (No. 11)
Symmetry-distinct sites (fractional):
Cs1 0.157 0.250 0.201 [2 per cell]
K1 0.266 0.750 0.549 [2 per cell]
Tl1 0.362 0.250 0.858 [2 per cell]
Cl1 0.057 0.250 0.656 [2 per cell]
Cl2 0.240 0.750 0.992 [2 per cell]
Cl3 0.460 0.750 0.349 [2 per cell]

---

Entry 14:
Here is a geometry-optimized RbSb2W structure from Alexandria via LeMat-Bulk. Energies are from GGA-PBE.

Calculated values
- D(E_F) (states/eV/cell) = 6.126
- energy relative to the elements, uncorrected (eV per atom) = 0.864

abc: 7.363 7.363 7.363
angles: 90.00 90.00 90.00
Space group Fm-3m (No. 225)
Symmetry-distinct sites (fractional):
Rb1 0.000 0.000 0.000 [4 per cell]
Sb1 0.250 0.250 0.250 [8 per cell]
W1 0.000 0.000 0.500 [4 per cell]

---

Entry 15:
Here is a geometry-optimized BeCoIr structure from Alexandria via LeMat-Bulk. Energies are from GGA-PBE.

Calculated values
- D(E_F) (states/eV/cell) = 14.387
- ΔE_f (eV per atom) = 0.067

abc: 5.243 5.243 5.243
angles: 90.00 90.00 90.00
Space group F-43m (No. 216)
Symmetry-distinct sites (fractional):
Be1 0.000 0.000 0.000 [4 per cell]
Co1 0.250 0.250 0.250 [4 per cell]
Ir1 0.250 0.250 0.750 [4 per cell]

---

Entry 16:
Here is a geometry-optimized MnCrSe structure from Alexandria via LeMat-Bulk. Energies are from GGA-PBE.

Calculated values
- D(E_F) (states/eV/cell) = 3.768
- energy relative to the elements, uncorrected (eV per atom) = 0.161

abc: 3.296 3.296 8.560
angles: 90.00 90.00 90.00
Space group I4mm (No. 107)
Symmetry-distinct sites (fractional):
Mn1 0.000 0.000 0.000 [2 per cell]
Cr1 0.000 0.000 0.659 [2 per cell]
Se1 0.000 0.000 0.333 [2 per cell]

---

Entry 17:
Here is a geometry-optimized Pm4Al3Pd structure from Alexandria via LeMat-Bulk. Energies are from GGA-PBE.

Calculated values
- D(E_F) (states/eV/cell) = 6.982
- ΔE_f (eV per atom) = -0.459

abc: 3.828 4.539 11.890
angles: 90.00 90.00 90.00
Space group Pmm2 (No. 25)
Symmetry-distinct sites (fractional):
Pm1 0.000 0.000 0.000 [1 per cell]
Pm2 0.000 0.500 0.284 [1 per cell]
Pm3 0.500 0.000 0.483 [1 per cell]
Pm4 0.500 0.500 0.796 [1 per cell]
Al1 0.000 0.000 0.704 [1 per cell]
Al2 0.000 0.500 0.574 [1 per cell]
Al3 0.500 0.500 0.075 [1 per cell]
Pd1 0.500 0.000 0.207 [1 per cell]

---

Entry 18:
Here is a geometry-optimized ScSb2Pb structure from Alexandria via LeMat-Bulk. Energies are from GGA-PBE.

Calculated values
- D(E_F) (states/eV/cell) = 5.913
- energy relative to the elements, uncorrected (eV per atom) = -0.284

abc: 14.370 4.012 4.243
angles: 90.00 90.46 90.00
Space group Cm (No. 8)
Symmetry-distinct sites (fractional):
Sc1 0.000 0.000 0.000 [2 per cell]
Sb1 0.047 0.500 0.502 [2 per cell]
Sb2 0.343 0.000 0.987 [2 per cell]
Pb1 0.261 0.500 0.486 [2 per cell]

---

Entry 19:
Here is a geometry-optimized Ca2TaSiF structure from Alexandria via LeMat-Bulk. Energies are from GGA-PBE.

Calculated values
- D(E_F) (states/eV/cell) = 4.694
- energy relative to the elements, uncorrected (eV per atom) = -0.385

abc: 4.546 4.546 4.639
angles: 90.00 90.00 90.00
Space group P4/mmm (No. 123)
Symmetry-distinct sites (fractional):
Ca1 0.000 0.500 0.000 [2 per cell]
Ta1 0.000 0.000 0.500 [1 per cell]
Si1 0.500 0.500 0.500 [1 per cell]
F1 0.000 0.000 0.000 [1 per cell]

---

Entry 20:
Here is a geometry-optimized Ho2Be3GePt4 structure from Alexandria via LeMat-Bulk. Energies are from GGA-PBE.

Calculated values
- D(E_F) (states/eV/cell) = 4.603
- ΔE_f (eV per atom) = -0.922

abc: 4.079 4.079 9.646
angles: 90.00 90.00 90.00
Space group P-4m2 (No. 115)
Symmetry-distinct sites (fractional):
Ho1 0.000 0.500 0.245 [2 per cell]
Be1 0.000 0.500 0.881 [2 per cell]
Be2 0.500 0.500 0.500 [1 per cell]
Ge1 0.000 0.000 0.500 [1 per cell]
Pt1 0.000 0.000 0.000 [1 per cell]
Pt2 0.000 0.500 0.644 [2 per cell]
Pt3 0.500 0.500 0.000 [1 per cell]

---

Entry 21:
Here is a geometry-optimized LiThCuAu structure from Alexandria via LeMat-Bulk. Energies are from GGA-PBE.

Calculated values
- D(E_F) (states/eV/cell) = 10.554
- ΔE_f (eV per atom) = -0.301

abc: 6.939 6.939 6.939
angles: 90.00 90.00 90.00
Space group F-43m (No. 216)
Symmetry-distinct sites (fractional):
Li1 0.000 0.000 0.000 [4 per cell]
Th1 0.000 0.000 0.500 [4 per cell]
Cu1 0.250 0.250 0.750 [4 per cell]
Au1 0.250 0.250 0.250 [4 per cell]

---

Entry 22:
Here is a geometry-optimized MoI3Br structure from Alexandria via LeMat-Bulk. Energies are from GGA-PBE.

Calculated values
- D(E_F) (states/eV/cell) = 8.214
- energy relative to the elements, uncorrected (eV per atom) = -0.191

abc: 7.806 7.815 8.146
angles: 109.14 100.36 117.99
Space group P-1 (No. 2)
Symmetry-distinct sites (fractional):
Mo1 0.250 0.249 0.498 [2 per cell]
I1 0.193 0.980 0.672 [2 per cell]
I2 0.237 0.958 0.195 [2 per cell]
I3 0.309 0.521 0.328 [2 per cell]
Br1 0.258 0.517 0.776 [2 per cell]

---

M_tot / μB/f.u.: 0.0 0.0 3.6 3.8 0.0 0.0 1.6 0.0 0.0 0.0 0.0 0.0 0.0 2.0 1.6 0.3 0.3 0.0 0.0 0.0 0.0 2.0